Entry from Alexandria via LeMat-Bulk: an optimized crystal structure of NpPb2O6 (PBE-GGA).

Lattice parameters (Å, degrees): 5.911 5.917 15.580 90.00 41.50 90.00
Sites, in units of the cell vectors:
O (0.703, 0.664, 0.819)
O (0.102, 0.429, 0.058)
Pb (0.951, 0.502, 0.372)
O (0.898, 0.571, 0.942)
Np (0.500, 0.500, 0.000)
O (0.797, 0.164, 0.681)
Pb (0.049, 0.498, 0.628)
Np (0.000, 0.000, 0.500)
O (0.203, 0.836, 0.319)
Pb (0.451, 0.998, 0.872)
O (0.602, 0.071, 0.558)
O (0.798, 0.698, 0.593)
O (0.702, 0.198, 0.907)
O (0.298, 0.802, 0.093)
Pb (0.549, 0.002, 0.128)
O (0.297, 0.336, 0.181)
O (0.398, 0.929, 0.442)
O (0.202, 0.302, 0.407)

Properties
E = -130.5 eV/cell
Total moment = 0.000 μB per atom
V = 361.09 Å³ per cell
E_form (uncorrected) = -1.68 eV/atom

=====

Entry from Alexandria via LeMat-Bulk: an optimized crystal structure of Ta2Rh2Cl (PBE-GGA).

Lattice parameters (Å, degrees): 4.201 4.201 6.400 70.84 70.84 90.00
Sites, in units of the cell vectors:
Rh (0.384, 0.384, 0.231)
Cl (0.000, 0.000, 0.000)
Ta (0.250, 0.750, 0.500)
Rh (0.616, 0.616, 0.769)
Ta (0.750, 0.250, 0.500)

Properties
E = -39.3 eV/cell
Total moment = 0.000 μB per atom
V = 100.05 Å³ per cell
E_form (uncorrected) = 0.19 eV/atom

=====

> The highest E_form (uncorrected) belongs to which entry?

Ta2Rh2Cl

=====

> Look up the E_form (uncorrected) of the second one.

0.19 eV/atom

=====

> Among the records above, which one has the lowest E?

NpPb2O6

=====

> What is the formula in the first record?

NpPb2O6